DFT (PBE) results for a relaxed CaPr2C2N6 crystal.

Cell lengths 5.274, 5.410, 6.551 Å; angles 115.89, 90.00, 119.17 degrees
Site moments in Bohr magnetons follow the coordinates.
Element x y z (fractional)
Ca  0.500  0.000  0.500  0.01
C  0.035  0.071  0.242  -0.01
C  0.965  0.929  0.758  -0.01
N  0.201  0.401  0.366  0.18
N  0.172  0.900  0.183  0.08
N  0.728  0.900  0.183  0.08
N  0.799  0.599  0.634  0.18
N  0.272  0.100  0.817  0.08
N  0.828  0.100  0.817  0.08
Pr  0.705  0.410  0.183  0.00
Pr  0.295  0.590  0.817  0.00

## Properties
Uncorrected energy = -7.862 eV/atom
Crystal system = monoclinic
Symmetry = No. 12
Uncorrected formation energy = -6.5 eV per formula unit